Entry 1:
# SrHfNi3 | the Alexandria database | PBE | relaxed
data_SrHfNi3
_cell_length_a 4.770
_cell_length_b 4.770
_cell_length_c 4.770
_cell_angle_alpha 90.00
_cell_angle_beta 90.00
_cell_angle_gamma 90.00
_symmetry_space_group_name_H-M 'P 1'
_symmetry_Int_Tables_number 1
_symmetry_space_group_name_Hall 'P 1'
loop_
_atom_site_label
_atom_site_fract_x
_atom_site_fract_y
_atom_site_fract_z
Ni1 0.000 0.500 0.000
Ni2 0.500 0.000 0.000
Ni3 0.000 0.000 0.500
Hf1 0.000 0.000 0.000
Sr1 0.500 0.500 0.500
# DFT total energy: -5.368 eV per atom
# space-group type: Pm-3m (221)
# formation energy from the elements: 428 meV per atom
# excess energy over the best structure of this formula in the dataset: 0.000 eV per atom

=====

Entry 2:
# BeAs3Br | the Alexandria database | PBE | relaxed
data_BeAs3Br
_cell_length_a 4.614
_cell_length_b 4.614
_cell_length_c 4.614
_cell_angle_alpha 90.00
_cell_angle_beta 90.00
_cell_angle_gamma 90.00
_symmetry_space_group_name_H-M 'P 1'
_symmetry_Int_Tables_number 1
_symmetry_space_group_name_Hall 'P 1'
loop_
_atom_site_label
_atom_site_fract_x
_atom_site_fract_y
_atom_site_fract_z
Br1 0.500 0.500 0.500
Be1 0.000 0.000 0.000
As1 0.000 0.000 0.500
As2 0.000 0.500 0.000
As3 0.500 0.000 0.000
# DFT total energy: -3.276 eV per atom
# formation energy from raw total energies: 2.965 eV per formula unit
# space-group type: Pm-3m (221)
# excess energy over the best structure of this formula in the dataset: 0.000 eV per atom

=====

Entry 3:
# LiCa3Bi3 | the Alexandria database | PBE | relaxed
data_LiCa3Bi3
_cell_length_a 7.411
_cell_length_b 7.411
_cell_length_c 8.624
_cell_angle_alpha 89.56
_cell_angle_beta 89.56
_cell_angle_gamma 98.93
_symmetry_space_group_name_H-M 'P 1'
_symmetry_Int_Tables_number 1
_symmetry_space_group_name_Hall 'P 1'
loop_
_atom_site_label
_atom_site_fract_x
_atom_site_fract_y
_atom_site_fract_z
Bi1 0.471 0.183 0.291
Bi2 0.083 0.083 0.784
Bi3 0.529 0.817 0.709
Bi4 0.817 0.529 0.709
Bi5 0.183 0.471 0.291
Bi6 0.917 0.917 0.216
Ca1 0.628 0.628 0.361
Ca2 0.829 0.171 0.500
Ca3 0.171 0.829 0.500
Ca4 0.767 0.233 0.000
Ca5 0.233 0.767 0.000
Ca6 0.372 0.372 0.639
Li1 0.804 0.804 0.924
Li2 0.196 0.196 0.076
# DFT total energy: -3.414 eV per atom
# space-group type: C2/m (12)
# formation energy from the elements: -619 meV per atom

=====

Entry 4:
# CeSm5N5 | the Alexandria database | PBE | relaxed
data_CeSm5N5
_cell_length_a 5.082
_cell_length_b 6.223
_cell_length_c 7.178
_cell_angle_alpha 106.94
_cell_angle_beta 90.00
_cell_angle_gamma 114.10
_symmetry_space_group_name_H-M 'P 1'
_symmetry_Int_Tables_number 1
_symmetry_space_group_name_Hall 'P 1'
loop_
_atom_site_label
_atom_site_fract_x
_atom_site_fract_y
_atom_site_fract_z
N1 0.163 0.326 0.329
N2 0.834 0.668 0.166
N3 0.166 0.332 0.834
N4 0.837 0.674 0.671
N5 0.500 0.000 0.000
Sm1 0.328 0.657 0.156
Sm2 0.672 0.343 0.844
Sm3 0.675 0.349 0.328
Sm4 0.325 0.651 0.672
Sm5 0.000 0.000 0.500
Ce1 0.000 0.000 0.000
# DFT total energy: -7.811 eV per atom
# formation energy from raw total energies: -14.770 eV per formula unit
# space-group type: C2/m (12)

=====

Entry 5:
# LaTaIn2 | the Alexandria database | PBE | relaxed
data_LaTaIn2
_cell_length_a 3.179
_cell_length_b 3.179
_cell_length_c 9.350
_cell_angle_alpha 90.00
_cell_angle_beta 90.00
_cell_angle_gamma 90.01
_symmetry_space_group_name_H-M 'P 1'
_symmetry_Int_Tables_number 1
_symmetry_space_group_name_Hall 'P 1'
loop_
_atom_site_label
_atom_site_fract_x
_atom_site_fract_y
_atom_site_fract_z
In1 0.000 0.000 0.529
In2 0.000 0.000 0.971
La1 0.500 0.500 0.250
Ta1 0.500 0.500 0.750
# DFT total energy: -5.586 eV per atom
# space-group type: P4/mmm (123)
# formation energy from the elements: -22 meV per atom

=====

Entry 6:
# CaRuPb2O8 | the Alexandria database | PBE | relaxed
data_CaRuPb2O8
_cell_length_a 5.050
_cell_length_b 4.975
_cell_length_c 6.735
_cell_angle_alpha 90.00
_cell_angle_beta 90.00
_cell_angle_gamma 89.75
_symmetry_space_group_name_H-M 'P 1'
_symmetry_Int_Tables_number 1
_symmetry_space_group_name_Hall 'P 1'
loop_
_atom_site_label
_atom_site_fract_x
_atom_site_fract_y
_atom_site_fract_z
O1 0.296 0.273 0.000
O2 0.324 0.299 0.500
O3 0.704 0.727 0.000
O4 0.826 0.195 0.794
O5 0.676 0.701 0.500
O6 0.174 0.805 0.206
O7 0.826 0.195 0.206
O8 0.174 0.805 0.794
Ru1 0.000 0.000 0.000
Ca1 0.000 0.000 0.500
Pb1 0.500 0.500 0.249
Pb2 0.500 0.500 0.751
# DFT total energy: -5.994 eV per atom
# formation energy from raw total energies: -13.564 eV per formula unit
# space-group type: P2/m (10)